Record 1
Li2LaCd | meta-GGA SCAN | PBEsol geometry

Structure (POSCAR):
```
Li2LaCd
1.0
5.142 -1.664 0.000
5.142 1.664 0.000
-1.110 0.000 5.542
Li La Cd
2 1 1
Direct
0.232 0.232 0.196
0.768 0.768 0.804
0.000 0.000 0.500
0.500 0.500 0.000
```

Summary:
Magnetization = 0.014 μB/atom



Record 2
Li2La2Cd | meta-GGA SCAN | PBEsol geometry

Structure (POSCAR):
```
Li2La2Cd
1.0
6.874 0.000 0.000
0.000 6.874 0.000
0.000 0.000 5.242
Li La Cd
4 4 2
Direct
0.133 0.367 0.000
0.367 0.867 0.000
0.633 0.133 0.000
0.867 0.633 0.000
0.178 0.678 0.500
0.322 0.178 0.500
0.678 0.822 0.500
0.822 0.322 0.500
0.000 0.000 0.000
0.500 0.500 0.000
```

Summary:
Magnetization = 0.000 μB/atom



Number 1: DOS at the Fermi energy 2.8 states/eV/cell, DFT formation energy -0.52 eV/f.u.. Number 2: DOS at the Fermi energy 7.8 states/eV/cell, DFT formation energy -0.66 eV/f.u..